No. 1
{
  "formula": "MnAl2TlBi",
  "functional": "PBE",
  "state": "optimized geometry",
  "e_form_ev_per_atom": 0.2744,
  "dos_at_fermi_per_ev_cell": 2.09,
  "e_tot_ev_per_atom": -4.306,
  "lattice_angstrom": [[-3.161, 1.346, 3.366], [0.555, -4.474, 2.310], [3.587, 1.810, 2.644]],
  "species": ["Tl", "Mn", "Bi", "Al", "Al"],
  "frac_coords": [[0.500, 0.500, 0.500], [0.000, 0.000, 0.000], [0.000, 0.500, 0.000], [0.000, 0.000, 0.500], [0.500, 0.000, 0.000]]
}

=====

No. 2
{
  "formula": "Dy4Er5Sc2",
  "functional": "PBE",
  "state": "optimized geometry",
  "e_form_ev_per_atom": 0.1068,
  "dos_at_fermi_per_ev_cell": 17.64,
  "e_tot_ev_per_atom": -4.792,
  "lattice_angstrom": [[1.728, 13.591, 2.084], [-1.728, 13.591, 2.084], [0.000, 3.432, 7.668]],
  "species": ["Dy", "Dy", "Dy", "Dy", "Er", "Er", "Er", "Er", "Er", "Sc", "Sc"],
  "frac_coords": [[0.129, 0.129, 0.782], [0.962, 0.962, 0.731], [0.871, 0.871, 0.218], [0.038, 0.038, 0.269], [0.816, 0.816, 0.890], [0.184, 0.184, 0.110], [0.725, 0.725, 0.378], [0.500, 0.500, 0.000], [0.275, 0.275, 0.622], [0.588, 0.588, 0.517], [0.412, 0.412, 0.483]]
}

=====

No. 3
{
  "formula": "Sr2GeSbRh6",
  "functional": "PBE",
  "state": "optimized geometry",
  "dos_at_fermi_per_ev_cell": 8.77,
  "e_tot_ev_per_atom": -5.665,
  "e_form_raw_ev_per_atom": -0.04,
  "lattice_angstrom": [[6.762, 0.000, 0.003], [0.000, 6.766, 0.003], [3.383, 3.385, 4.786]],
  "species": ["Sr", "Sr", "Ge", "Sb", "Rh", "Rh", "Rh", "Rh", "Rh", "Rh"],
  "frac_coords": [[0.750, 0.250, 0.500], [0.250, 0.750, 0.500], [0.500, 0.500, 0.000], [0.000, 0.000, 0.000], [0.258, 0.258, 0.483], [0.742, 0.742, 0.000], [0.258, 0.742, 0.000], [0.742, 0.258, 0.000], [0.258, 0.258, 0.000], [0.742, 0.742, 0.517]]
}

=====

No. 4
{
  "formula": "ThZr3Bi3",
  "functional": "PBE",
  "state": "optimized geometry",
  "e_form_ev_per_atom": -0.2497,
  "dos_at_fermi_per_ev_cell": 9.99,
  "e_tot_ev_per_atom": -6.636,
  "lattice_angstrom": [[-7.036, -3.517, -4.629], [1.277, -3.351, -8.393], [-0.864, -7.183, -2.226]],
  "species": ["Th", "Th", "Zr", "Zr", "Zr", "Zr", "Zr", "Zr", "Bi", "Bi", "Bi", "Bi", "Bi", "Bi"],
  "frac_coords": [[0.287, 0.287, 0.139], [0.713, 0.713, 0.861], [0.112, 0.695, 0.251], [0.942, 0.112, 0.251], [0.695, 0.942, 0.251], [0.305, 0.058, 0.749], [0.058, 0.888, 0.749], [0.888, 0.305, 0.749], [0.444, 0.677, 0.746], [0.677, 0.133, 0.746], [0.133, 0.444, 0.746], [0.867, 0.556, 0.254], [0.323, 0.867, 0.254], [0.556, 0.323, 0.254]]
}

=====

No. 5
{
  "formula": "InCu2Ag2",
  "functional": "PBE",
  "state": "optimized geometry",
  "e_form_ev_per_atom": 0.1450,
  "dos_at_fermi_per_ev_cell": 3.24,
  "e_tot_ev_per_atom": -3.182,
  "lattice_angstrom": [[7.433, 0.000, 0.000], [0.000, 7.433, 0.000], [0.000, 0.000, 3.104]],
  "species": ["Cu", "Cu", "Cu", "Cu", "Ag", "Ag", "Ag", "Ag", "In", "In"],
  "frac_coords": [[0.161, 0.661, 0.500], [0.661, 0.839, 0.500], [0.839, 0.339, 0.500], [0.339, 0.161, 0.500], [0.366, 0.866, 0.000], [0.866, 0.634, 0.000], [0.634, 0.134, 0.000], [0.134, 0.366, 0.000], [0.000, 0.000, 0.000], [0.500, 0.500, 0.000]]
}

=====

No. 6
{
  "formula": "SeBr3",
  "functional": "PBE",
  "state": "optimized geometry",
  "dos_at_fermi_per_ev_cell": 5.82,
  "e_tot_ev_per_atom": -1.447,
  "e_form_raw_ev_per_atom": 0.68,
  "lattice_angstrom": [[0.000, 3.663, 3.663], [3.663, 0.000, 3.663], [3.663, 3.663, 0.000]],
  "species": ["Se", "Br", "Br", "Br"],
  "frac_coords": [[0.000, 0.000, 0.000], [0.250, 0.250, 0.250], [0.750, 0.750, 0.750], [0.500, 0.500, 0.500]]
}